Computed, not measured: crystalline Dy3ThSc5 at its relaxed geometry at the GGA-PBE level of DFT.

Unit cell a=3.3470 b=9.3057 c=9.3057 alpha=120.00 beta=90.00 gamma=90.00
Sites, in units of the cell vectors:
1 Dy 0.0000 0.0000 0.3653
2 Dy 0.0000 0.3653 0.0000
3 Dy 0.0000 0.6347 0.6347
4 Th 0.0000 0.0000 0.0000
5 Sc 0.5000 0.6667 0.3333
6 Sc 0.5000 0.3333 0.6667
7 Sc 0.5000 0.3138 0.3138
8 Sc 0.5000 0.6862 0.0000
9 Sc 0.5000 0.0000 0.6862

Computed properties:
**Volume**: 251.0 Å³/f.u.
**Symmetry**: No. 189
**Formation enthalpy at 0 K**: 0.07 eV per atom